# 1
This record from the Alexandria database describes crystalline Li2ZnTcN at its relaxed geometry. The functional is GGA-PBE.

a b c (Å): 3.8945 3.8945 3.9599
angles (deg): 90.00 90.00 90.00
Last column: nearest neighbours and their distance in Å.
Fractional coordinates of all 5 atoms:
Tc 0.0000 0.0000 0.5000  2 N 1.98
N 0.0000 0.0000 0.0000  4 Li 1.95, 2 Tc 1.98
Zn 0.5000 0.5000 0.5000  4 Tc 2.75, 8 Li 2.78
Li 0.5000 0.0000 0.0000  2 N 1.95
Li 0.0000 0.5000 0.0000  2 N 1.95

Properties
Crystal system: tetragonal
Formation energy (no corrections): -0.2066 eV per atom
Energy above the most stable polymorph in this dataset: 0 meV per atom

---

# 2
This record from the Alexandria database describes crystalline BeCoTe2 at its relaxed geometry. The functional is GGA-PBE.

a b c (Å): 5.1248 5.1248 5.1248
angles (deg): 138.62 107.28 87.29
Last column: nearest neighbours and their distance in Å.
Fractional coordinates of all 4 atoms:
Te 0.9858 0.9858 0.0000  2 Be 2.52, 2 Co 2.67
Co 0.2500 0.7500 0.5000  4 Te 2.67
Be 0.7500 0.2500 0.5000  4 Te 2.52
Te 0.5142 0.5142 0.0000  2 Be 2.52, 2 Co 2.67

Properties
Crystal system: orthorhombic
Formation energy (no corrections): 0.5471 eV per atom

---

# 3
This record from the Alexandria database describes crystalline Mg2Tl6Sn at its relaxed geometry. The functional is GGA-PBE.

a b c (Å): 3.5084 8.0787 9.7803
angles (deg): 76.96 79.67 77.46
Last column: nearest neighbours and their distance in Å.
Fractional coordinates of all 9 atoms:
Tl 0.0408 0.6287 0.2897  2 Mg 3.40, 9 Tl 3.51-3.78, 1 Sn 3.63
Sn 0.0000 0.0000 0.0000  4 Mg 3.00, 2 Tl 3.16
Mg 0.3718 0.0038 0.2527  2 Sn 3.00, 5 Tl 3.04-3.36
Tl 0.9592 0.3713 0.7103  2 Mg 3.40, 9 Tl 3.51-3.78, 1 Sn 3.63
Tl 0.3294 0.7892 0.5520  3 Mg 3.04-3.24, 1 Tl 3.27
Mg 0.6282 0.9962 0.7473  2 Sn 3.00, 5 Tl 3.04-3.36
Tl 0.6706 0.2108 0.4480  3 Mg 3.04-3.24, 1 Tl 3.27
Tl 0.2304 0.6444 0.8948  1 Sn 3.16, 7 Tl 3.25-3.52, 2 Mg 3.36
Tl 0.7696 0.3556 0.1052  1 Sn 3.16, 7 Tl 3.25-3.52, 2 Mg 3.36

Properties
Crystal system: monoclinic
Energy of formation: 15 meV/atom